#a
A relaxed LuUSn2 crystal. Source: Alexandria, functional GGA-PBE.

Cell: 4.9013 4.9013 4.2692 Å, 90.00 90.00 90.00°
Element x y z (fractional)
Lu (0.0000, 0.0000, 0.0000)
U (0.5000, 0.5000, 0.0000)
Sn (0.0000, 0.5000, 0.5000)
Sn (0.5000, 0.0000, 0.5000)

Computed properties:
Total magnetic moment, μB/cell: 3.029



#b
A relaxed LuUSn2 crystal. Source: Alexandria, functional GGA-PBE.

Cell: 3.3196 3.3196 9.1181 Å, 90.00 90.00 90.00°
Element x y z (fractional)
Lu (0.0000, 0.0000, 0.0000)
U (0.0000, 0.0000, 0.5000)
Sn (0.5000, 0.5000, 0.2443)
Sn (0.5000, 0.5000, 0.7557)

Computed properties:
Total magnetic moment, μB/cell: 2.808



According to the calculations, the structures order from most to least stable as #b, #a.



#a
A relaxed YLuSn2 crystal. Source: Alexandria, functional GGA-PBE.

Cell: 3.9657 3.9657 6.7071 Å, 90.00 90.00 90.00°
Element x y z (fractional)
Y (0.0000, 0.0000, 0.0000)
Lu (0.0000, 0.0000, 0.5000)
Sn (0.5000, 0.5000, 0.2593)
Sn (0.5000, 0.5000, 0.7407)

Computed properties:
Total magnetic moment, μB/cell: 0.000



#b
A relaxed YLuSn2 crystal. Source: Alexandria, functional GGA-PBE.

Cell: 5.3206 5.3206 5.3206 Å, 60.00 60.00 60.00°
Element x y z (fractional)
Y (0.0000, 0.0000, 0.0000)
Lu (0.5000, 0.5000, 0.5000)
Sn (0.2500, 0.2500, 0.2500)
Sn (0.7500, 0.7500, 0.7500)

Computed properties:
Total magnetic moment, μB/cell: 0.000



According to the calculations, the structures order from most to least stable as #a, #b.



#a
A relaxed YLuSn2 crystal. Source: Alexandria, functional GGA-PBE.

Cell: 9.2153 9.2153 9.2153 Å, 23.76 23.76 23.76°
Element x y z (fractional)
Y (0.0000, 0.0000, 0.0000)
Lu (0.5000, 0.5000, 0.5000)
Sn (0.2486, 0.2486, 0.2486)
Sn (0.7514, 0.7514, 0.7514)

Computed properties:
Total magnetic moment, μB/cell: 0.000



#b
A relaxed YLuSn2 crystal. Source: Alexandria, functional GGA-PBE.

Cell: 4.8996 4.8996 4.3410 Å, 90.00 90.00 90.00°
Element x y z (fractional)
Y (0.0000, 0.0000, 0.0000)
Lu (0.5000, 0.5000, 0.0000)
Sn (0.0000, 0.5000, 0.5000)
Sn (0.5000, 0.0000, 0.5000)

Computed properties:
Total magnetic moment, μB/cell: 0.000



According to the calculations, the structures order from most to least stable as #b, #a.



#a
A relaxed YLu2Sn crystal. Source: Alexandria, functional GGA-PBE.

Cell: 3.6808 3.6808 8.4173 Å, 90.00 90.00 90.00°
Element x y z (fractional)
Y (0.0000, 0.0000, 0.0000)
Lu (0.5000, 0.5000, 0.2785)
Lu (0.5000, 0.5000, 0.7215)
Sn (0.0000, 0.0000, 0.5000)

Computed properties:
Total magnetic moment, μB/cell: 0.000



#b
A relaxed YLu2Sn crystal. Source: Alexandria, functional GGA-PBE.

Cell: 4.7534 4.7534 4.7628 Å, 90.00 90.00 90.00°
Element x y z (fractional)
Y (0.0000, 0.0000, 0.0000)
Lu (0.0000, 0.5000, 0.5000)
Lu (0.5000, 0.0000, 0.5000)
Sn (0.5000, 0.5000, 0.0000)

Computed properties:
Total magnetic moment, μB/cell: 0.093



#c
A relaxed YLu2Sn crystal. Source: Alexandria, functional GGA-PBE.

Cell: 11.7612 11.7612 11.7612 Å, 16.84 16.84 16.84°
Element x y z (fractional)
Y (0.0000, 0.0000, 0.0000)
Lu (0.0954, 0.0954, 0.0954)
Lu (0.9046, 0.9046, 0.9046)
Sn (0.5000, 0.5000, 0.5000)

Computed properties:
Total magnetic moment, μB/cell: 0.723



According to the calculations, the structures order from most to least stable as #b, #a, #c.



#a
A relaxed LuZrSn2 crystal. Source: Alexandria, functional GGA-PBE.

Cell: 4.6572 4.6572 4.3528 Å, 90.00 90.00 90.00°
Element x y z (fractional)
Lu (0.0000, 0.0000, 0.0000)
Zr (0.5000, 0.5000, 0.0000)
Sn (0.0000, 0.5000, 0.5000)
Sn (0.5000, 0.0000, 0.5000)

Computed properties:
Total magnetic moment, μB/cell: 0.000



#b
A relaxed LuZrSn2 crystal. Source: Alexandria, functional GGA-PBE.

Cell: 10.1590 10.1590 10.1590 Å, 19.08 19.08 19.08°
Element x y z (fractional)
Lu (0.0000, 0.0000, 0.0000)
Zr (0.5000, 0.5000, 0.5000)
Sn (0.2472, 0.2472, 0.2472)
Sn (0.7528, 0.7528, 0.7528)

Computed properties:
Total magnetic moment, μB/cell: 0.000



According to the calculations, the structures order from most to least stable as #a, #b.



#a
A relaxed LuZr2Sn crystal. Source: Alexandria, functional GGA-PBE.

Cell: 11.4416 11.4416 11.4416 Å, 16.08 16.08 16.08°
Element x y z (fractional)
Lu (0.0000, 0.0000, 0.0000)
Zr (0.0919, 0.0919, 0.0919)
Zr (0.9081, 0.9081, 0.9081)
Sn (0.5000, 0.5000, 0.5000)

Computed properties:
Total magnetic moment, μB/cell: 0.019



#b
A relaxed LuZr2Sn crystal. Source: Alexandria, functional GGA-PBE.

Cell: 4.5246 4.5246 4.5695 Å, 90.00 90.00 90.00°
Element x y z (fractional)
Lu (0.0000, 0.0000, 0.0000)
Zr (0.0000, 0.5000, 0.5000)
Zr (0.5000, 0.0000, 0.5000)
Sn (0.5000, 0.5000, 0.0000)

Computed properties:
Total magnetic moment, μB/cell: 0.000



According to the calculations, the structures order from most to least stable as #b, #a.



#a
A relaxed Sr3Lu crystal. Source: Alexandria, functional GGA-PBE.

Cell: 3.7474 3.9175 12.7066 Å, 90.00 90.00 90.00°
Element x y z (fractional)
Sr (0.0000, 0.0000, 0.0000)
Sr (0.0000, 0.5000, 0.2828)
Sr (0.5000, 0.5000, 0.7414)
Lu (0.5000, 0.0000, 0.4953)

Computed properties:
Total magnetic moment, μB/cell: 0.206



#b
A relaxed Sr3Lu crystal. Source: Alexandria, functional GGA-PBE.

Cell: 6.9821 6.9821 6.9821 Å, 131.88 131.88 70.42°
Element x y z (fractional)
Sr (0.0000, 0.0000, 0.0000)
Sr (0.2500, 0.7500, 0.5000)
Sr (0.7500, 0.2500, 0.5000)
Lu (0.5000, 0.5000, 0.0000)

Computed properties:
Total magnetic moment, μB/cell: 0.399



According to the calculations, the structures order from most to least stable as #b, #a.



#a
A relaxed SrTbLu2 crystal. Source: Alexandria, functional GGA-PBE.

Cell: 12.7745 12.7745 12.7745 Å, 16.04 16.04 16.04°
Element x y z (fractional)
Sr (0.0000, 0.0000, 0.0000)
Tb (0.5000, 0.5000, 0.5000)
Lu (0.0934, 0.0934, 0.0934)
Lu (0.9066, 0.9066, 0.9066)

Computed properties:
Total magnetic moment, μB/cell: 0.000



#b
A relaxed SrTbLu2 crystal. Source: Alexandria, functional GGA-PBE.

Cell: 3.6412 3.6412 10.4777 Å, 90.00 90.00 90.00°
Element x y z (fractional)
Sr (0.0000, 0.0000, 0.0000)
Tb (0.0000, 0.0000, 0.5000)
Lu (0.5000, 0.5000, 0.2806)
Lu (0.5000, 0.5000, 0.7194)

Computed properties:
Total magnetic moment, μB/cell: 0.000



According to the calculations, the structures order from most to least stable as #b, #a.